# 1
A geometry-optimized Ba2SbS4 structure. Source: Alexandria via LeMat-Bulk, functional GGA-PBE.

Geometry as POSCAR:
```
Ba2SbS4
1.0
7.187 0.000 0.000
0.000 6.901 0.000
-3.494 0.000 8.601
Ba Sb S
4 2 8
Direct
0.116 0.250 0.435
0.289 0.750 0.068
0.711 0.250 0.932
0.884 0.750 0.565
0.451 0.750 0.681
0.549 0.250 0.319
0.194 0.250 0.110
0.217 0.750 0.394
0.289 0.010 0.762
0.289 0.490 0.762
0.711 0.510 0.238
0.711 0.990 0.238
0.783 0.250 0.606
0.806 0.750 0.890
```

Values from the calculation:
The value obtained for the energy above the most stable polymorph in this dataset is 21.6 meV/atom. Its crystal system is monoclinic.



# 2
A geometry-optimized KCeAs2O6 structure. Source: Alexandria via LeMat-Bulk, functional GGA-PBE.

Geometry as POSCAR:
```
KCeAs2O6
1.0
2.900 1.674 5.989
-2.900 1.674 5.989
0.000 -3.349 5.989
K Ce As O
1 1 2 6
Direct
0.000 0.000 0.000
0.500 0.500 0.500
0.275 0.275 0.275
0.725 0.725 0.725
0.070 0.703 0.515
0.297 0.485 0.930
0.485 0.930 0.297
0.515 0.070 0.703
0.703 0.515 0.070
0.930 0.297 0.485
```

Values from the calculation:
Its total energy is -6.482 eV/atom. Its crystal system is trigonal.



# 3
A geometry-optimized Sm3As2P structure. Source: Alexandria via LeMat-Bulk, functional GGA-PBE.

Geometry as POSCAR:
```
Sm3As2P
1.0
0.000 5.911 12.534
4.179 0.000 12.534
4.179 5.911 0.000
Sm As P
12 8 4
Direct
0.041 0.541 0.204
0.120 0.630 0.630
0.204 0.714 0.041
0.286 0.796 0.459
0.370 0.880 0.880
0.459 0.959 0.286
0.541 0.041 0.714
0.630 0.120 0.120
0.714 0.204 0.541
0.796 0.286 0.959
0.880 0.370 0.370
0.959 0.459 0.796
0.125 0.125 0.625
0.292 0.292 0.458
0.375 0.375 0.875
0.458 0.458 0.292
0.542 0.542 0.708
0.625 0.625 0.125
0.708 0.708 0.542
0.875 0.875 0.375
0.042 0.042 0.208
0.208 0.208 0.042
0.792 0.792 0.958
0.958 0.958 0.792
```

Values from the calculation:
The calculation puts the formation enthalpy at 0 K at -148.7 kJ/mol of atoms. The value obtained for the energy above the most stable polymorph in this dataset is 0.0 meV/atom. Its crystal system is orthorhombic.



# 4
A geometry-optimized ScCd2 structure. Source: Alexandria via LeMat-Bulk, functional GGA-PBE.

Geometry as POSCAR:
```
ScCd2
1.0
0.000 4.057 4.057
4.057 0.000 4.057
4.057 4.057 0.000
Sc Cd
2 4
Direct
0.125 0.125 0.125
0.875 0.875 0.875
0.000 0.500 0.500
0.500 0.000 0.500
0.500 0.500 0.000
0.500 0.500 0.500
```

Values from the calculation:
The calculation puts the formation enthalpy at 0 K at -14.8 kJ/mol of atoms. Its crystal system is cubic.



# 5
A geometry-optimized NpScMnRu structure. Source: Alexandria via LeMat-Bulk, functional GGA-PBE.

Geometry as POSCAR:
```
NpScMnRu
1.0
0.000 3.270 3.270
3.270 0.000 3.270
3.270 3.270 0.000
Np Sc Mn Ru
1 1 1 1
Direct
0.000 0.000 0.000
0.500 0.500 0.500
0.250 0.250 0.250
0.750 0.750 0.750
```

Values from the calculation:
The calculation puts the formation enthalpy at 0 K at -7.7 kJ/mol of atoms. Its crystal system is cubic.



# 6
A geometry-optimized CaZn2C structure. Source: Alexandria via LeMat-Bulk, functional GGA-PBE.

Geometry as POSCAR:
```
CaZn2C
1.0
0.000 4.472 4.472
4.472 0.000 4.472
4.472 4.472 0.000
Ca Zn C
2 4 2
Direct
0.125 0.125 0.125
0.875 0.875 0.875
0.000 0.500 0.500
0.500 0.000 0.500
0.500 0.500 0.000
0.500 0.500 0.500
0.375 0.375 0.375
0.625 0.625 0.625
```

Values from the calculation:
The calculation puts the formation enthalpy at 0 K at 50.1 kJ/mol of atoms. Its crystal system is cubic.



# 7
A geometry-optimized TlFe2SnI8 structure. Source: Alexandria via LeMat-Bulk, functional GGA-PBE.

Geometry as POSCAR:
```
TlFe2SnI8
1.0
6.206 -4.302 0.000
6.206 4.302 0.000
-0.503 0.000 10.190
Tl Fe Sn I
1 2 1 8
Direct
0.000 0.000 0.000
0.373 0.373 0.727
0.627 0.627 0.273
0.000 0.000 0.500
0.256 0.735 0.273
0.257 0.257 0.511
0.265 0.744 0.727
0.278 0.278 0.942
0.722 0.722 0.058
0.735 0.256 0.273
0.743 0.743 0.489
0.744 0.265 0.727
```

Values from the calculation:
Its total energy is -3.280 eV/atom. Its crystal system is monoclinic.



# 8
A geometry-optimized Cs3Pa4S12 structure. Source: Alexandria via LeMat-Bulk, functional GGA-PBE.

Geometry as POSCAR:
```
Cs3Pa4S12
1.0
-5.289 5.289 5.289
5.289 -5.289 5.289
5.289 5.289 -5.289
Cs Pa S
3 4 12
Direct
0.000 0.500 0.500
0.500 0.000 0.500
0.500 0.500 0.000
0.000 0.000 0.500
0.000 0.500 0.000
0.500 0.000 0.000
0.500 0.500 0.500
0.000 0.251 0.749
0.000 0.749 0.251
0.251 0.000 0.749
0.251 0.251 0.502
0.251 0.502 0.251
0.251 0.749 0.000
0.498 0.749 0.749
0.502 0.251 0.251
0.749 0.000 0.251
0.749 0.251 0.000
0.749 0.498 0.749
0.749 0.749 0.498
```

Values from the calculation:
Its total energy is -6.215 eV/atom. Its crystal system is cubic.



# 9
A geometry-optimized Li3Mg2Hg3 structure. Source: Alexandria via LeMat-Bulk, functional GGA-PBE.

Geometry as POSCAR:
```
Li3Mg2Hg3
1.0
2.386 1.378 7.899
-2.386 1.378 7.899
0.000 -2.755 7.899
Li Mg Hg
3 2 3
Direct
0.000 0.000 0.000
0.128 0.128 0.128
0.622 0.622 0.622
0.380 0.380 0.380
0.872 0.872 0.872
0.258 0.258 0.258
0.501 0.501 0.501
0.741 0.741 0.741
```

Values from the calculation:
The calculation puts the formation enthalpy at 0 K at -28.3 kJ/mol of atoms. Its crystal system is trigonal.



# 10
A geometry-optimized ReNi2W structure. Source: Alexandria via LeMat-Bulk, functional GGA-PBE.

Geometry as POSCAR:
```
ReNi2W
1.0
4.399 -1.380 0.000
4.399 1.380 0.000
-0.861 0.000 4.453
Re Ni W
1 2 1
Direct
0.000 0.000 0.000
0.252 0.252 0.754
0.748 0.748 0.246
0.500 0.500 0.500
```

Values from the calculation:
The calculation puts the formation enthalpy at 0 K at 14.4 kJ/mol of atoms. Its crystal system is monoclinic.



# 11
A geometry-optimized Ba4HN2 structure. Source: Alexandria via LeMat-Bulk, functional GGA-PBE.

Geometry as POSCAR:
```
Ba4HN2
1.0
2.027 1.170 14.565
-2.027 1.170 14.565
0.000 -2.340 14.565
Ba H N
4 1 2
Direct
0.114 0.114 0.114
0.289 0.289 0.289
0.711 0.711 0.711
0.886 0.886 0.886
0.000 0.000 0.000
0.413 0.413 0.413
0.587 0.587 0.587
```

Values from the calculation:
The value obtained for the energy above the most stable polymorph in this dataset is 0.0 meV/atom. Its crystal system is trigonal.



# 12
A geometry-optimized Pm2Ga4NiPt3 structure. Source: Alexandria via LeMat-Bulk, functional GGA-PBE.

Geometry as POSCAR:
```
Pm2Ga4NiPt3
1.0
4.214 0.000 0.000
0.000 4.214 0.000
0.000 0.000 10.627
Pm Ga Ni Pt
2 4 1 3
Direct
0.000 0.500 0.247
0.500 0.000 0.753
0.000 0.000 0.500
0.000 0.500 0.875
0.500 0.000 0.125
0.500 0.500 0.500
0.500 0.500 0.000
0.000 0.000 0.000
0.000 0.500 0.638
0.500 0.000 0.362
```

Values from the calculation:
The calculation puts the formation enthalpy at 0 K at -84.1 kJ/mol of atoms. Its crystal system is tetragonal.